(1)
A relaxed Np2FeAs4 crystal, computed with PBE.

a = 4.039 Å, b = 4.039 Å, c = 8.595 Å
α = 90.00°, β = 90.00°, γ = 90.00°
Space group P-4m2 (No. 115)
Asymmetric unit:
Np1 0.000 0.500 0.234 [2 per cell]
Fe1 0.500 0.500 0.000 [1 per cell]
As1 0.000 0.000 0.500 [1 per cell]
As2 0.000 0.500 0.858 [2 per cell]
As3 0.500 0.500 0.500 [1 per cell]

calculated total energy: -8.0221 eV per atom
N(E_F): 17.5 states/eV/f.u.
magnetic moment: 4.697 μB/f.u.

(2)
A relaxed Nd3Pa crystal, computed with PBE.

a = 7.1468 Å, b = 7.1468 Å, c = 5.8498 Å
α = 90.00°, β = 90.00°, γ = 120.00°
Space group P6_3/mmc (No. 194)
Asymmetric unit:
Nd1 0.1701 0.3402 0.2500 [6 per cell]
Pa1 0.3333 0.6667 0.7500 [2 per cell]

calculated total energy: -5.6496 eV per atom
N(E_F): 6.5 states/eV/f.u.
offset from the most stable computed form: 50 meV per atom
magnetic moment: 0.000 μB/f.u.

(3)
A relaxed Na3Pu3AlSe8 crystal, computed with PBE.

a = 8.2227 Å, b = 8.2227 Å, c = 21.0040 Å
α = 90.00°, β = 90.00°, γ = 120.00°
Space group R-3m (No. 166, hexagonal axes)
Asymmetric unit:
Na1 0.0000 0.5000 0.0000 [9 per cell]
Pu1 0.0000 0.5000 0.5000 [9 per cell]
Al1 0.0000 0.0000 0.5000 [3 per cell]
Se1 0.0000 0.0000 0.2433 [6 per cell]
Se2 0.0256 0.5128 0.2374 [18 per cell]

calculated total energy: -6.4791 eV per atom
N(E_F): 31.3 states/eV/f.u.
formation energy (no corrections): -1241 meV/atom
magnetic moment: 14.000 μB/f.u.

(4)
A relaxed LaDy4Er3 crystal, computed with PBE.

a = 11.307 Å, b = 7.274 Å, c = 6.272 Å
α = 90.00°, β = 90.00°, γ = 90.00°
Space group Pmn2_1 (No. 31)
Asymmetric unit:
La1 0.000 0.126 0.000 [2 per cell]
Dy1 0.000 0.377 0.504 [2 per cell]
Dy2 0.000 0.625 0.002 [2 per cell]
Dy3 0.247 0.624 0.337 [4 per cell]
Er1 0.000 0.873 0.503 [2 per cell]
Er2 0.249 0.126 0.337 [4 per cell]

calculated total energy: -4.6136 eV per atom
N(E_F): 12.8 states/eV/f.u.
offset from the most stable computed form: 0 meV per atom
magnetic moment: 0.000 μB/f.u.

(5)
A relaxed Tb2HoV crystal, computed with PBE.

a = 3.3744 Å, b = 3.3744 Å, c = 34.2678 Å
α = 90.00°, β = 90.00°, γ = 120.00°
Space group R-3m (No. 166, hexagonal axes)
Asymmetric unit:
Tb1 0.0000 0.0000 0.0821 [6 per cell]
Ho1 0.0000 0.0000 0.5000 [3 per cell]
V1 0.0000 0.0000 0.0000 [3 per cell]

calculated total energy: -5.1339 eV per atom
N(E_F): 6.7 states/eV/f.u.
magnetic moment: 3.182 μB/f.u.

(6)
A relaxed Cd2Pd12Pt5 crystal, computed with PBE.

a = 12.039 Å, b = 8.232 Å, c = 6.503 Å
α = 90.00°, β = 97.35°, γ = 90.00°
Space group C2/m (No. 12)
Asymmetric unit:
Cd1 0.000 0.243 0.000 [4 per cell]
Pd1 0.050 0.500 0.719 [4 per cell]
Pd2 0.107 0.278 0.433 [8 per cell]
Pd3 0.124 0.000 0.871 [4 per cell]
Pd4 0.242 0.319 0.817 [8 per cell]
Pt1 0.000 0.000 0.500 [2 per cell]
Pt2 0.150 0.500 0.117 [4 per cell]
Pt3 0.222 0.000 0.517 [4 per cell]

calculated total energy: -4.9419 eV per atom
N(E_F): 29.0 states/eV/f.u.
offset from the most stable computed form: 34 meV per atom
magnetic moment: 0.001 μB/f.u.

(7)
A relaxed PrDy5YTh2 crystal, computed with PBE.

a = 8.914 Å, b = 8.914 Å, c = 15.226 Å
α = 90.00°, β = 90.00°, γ = 90.00°
Space group I4/mcm (No. 140)
Asymmetric unit:
Pr1 0.000 0.000 0.250 [4 per cell]
Dy1 0.000 0.000 0.000 [4 per cell]
Dy2 0.208 0.292 0.137 [16 per cell]
Y1 0.000 0.500 0.250 [4 per cell]
Th1 0.118 0.382 0.500 [8 per cell]

calculated total energy: -5.1262 eV per atom
N(E_F): 13.2 states/eV/f.u.
magnetic moment: 0.000 μB/f.u.

(8)
A relaxed NaEuHgBi crystal, computed with PBE.

a = 7.806 Å, b = 7.806 Å, c = 7.806 Å
α = 90.00°, β = 90.00°, γ = 90.00°
Space group F-43m (No. 216)
Asymmetric unit:
Na1 0.000 0.000 0.000 [4 per cell]
Eu1 0.000 0.000 0.500 [4 per cell]
Hg1 0.250 0.250 0.750 [4 per cell]
Bi1 0.250 0.250 0.250 [4 per cell]

calculated total energy: -4.5427 eV per atom
N(E_F): 10.9 states/eV/f.u.
magnetic moment: 6.993 μB/f.u.